Here is crystalline LiAs at its relaxed geometry from Alexandria via LeMat-Bulk. Energies are from PBE-GGA.

Lattice parameters (Å, degrees): 7.2472 7.2472 4.0277 90.00 90.00 90.00
Last column: nearest neighbours and their distance in Å.
Positions (direct):
Li  0.2346  0.2346  0.0000  4 As 2.56-2.66
Li  0.2654  0.7346  0.5000  4 As 2.56-2.66
Li  0.7346  0.2654  0.5000  4 As 2.56-2.66
Li  0.7654  0.7654  0.0000  4 As 2.56-2.66
As  0.1114  0.8886  0.0000  1 As 2.28
As  0.3886  0.3886  0.5000  1 As 2.28
As  0.6114  0.6114  0.5000  1 As 2.28
As  0.8886  0.1114  0.0000  1 As 2.28

Output
The calculation puts the formation energy at -176 meV per atom.

Here is crystalline LiAs at its relaxed geometry from Alexandria via LeMat-Bulk. Energies are from PBE-GGA.

Lattice parameters (Å, degrees): 8.0694 3.5549 5.2210 90.00 90.00 90.00
Last column: nearest neighbours and their distance in Å.
Positions (direct):
Li  0.1397  0.2500  0.1199  6 As 2.64-2.88
Li  0.3603  0.7500  0.6199  6 As 2.64-2.88
Li  0.6397  0.2500  0.3801  6 As 2.64-2.88
Li  0.8603  0.7500  0.8801  6 As 2.64-2.88
As  0.0788  0.2500  0.6168  2 As 2.50, 2 Li 2.64-2.67
As  0.4212  0.7500  0.1168  2 As 2.50, 2 Li 2.64-2.67
As  0.5788  0.2500  0.8832  2 As 2.50, 2 Li 2.64-2.67
As  0.9212  0.7500  0.3832  2 As 2.50, 2 Li 2.64-2.67

Output
The calculation puts the formation energy at -441 meV per atom.

Q: Which total magnetic moment values were calculated for the entries above? A: 0.0000; 0.0000, in μB/atom.